PuAlIrO6 | PBE | relaxed

Cell: 5.185 5.185 8.610 Å, 90.00 90.00 120.00°
Atoms (fractional coordinates):
Pu: 0.333 0.667 0.250
Pu: 0.667 0.333 0.750
Al: 0.333 0.667 0.750
Al: 0.667 0.333 0.250
Ir: 0.000 0.000 0.000
Ir: 0.000 0.000 0.500
O: 0.027 0.347 0.628
O: 0.027 0.680 0.872
O: 0.320 0.347 0.872
O: 0.320 0.973 0.628
O: 0.347 0.027 0.128
O: 0.347 0.320 0.372
O: 0.653 0.680 0.628
O: 0.653 0.973 0.872
O: 0.680 0.027 0.372
O: 0.680 0.653 0.128
O: 0.973 0.320 0.128
O: 0.973 0.653 0.372

Symmetry ... No. 163
Uncorrected energy ... -8.28 eV/atom
E_form (uncorrected) ... -17.83 eV/f.u.
Total magnetization ... 3.95 Bohr magnetons per cell
Crystal system ... trigonal
Theoretical density ... 9.3 g cm⁻³